Compound: RbCo2Pd
Source: the Alexandria database
Functional: GGA-PBE
Structure: optimized geometry

a = 4.7946 Å, b = 4.7946 Å, c = 17.4239 Å
α = 90.00°, β = 90.00°, γ = 90.00°
With the nearest neighbours (Å) after each atom.
Atoms (fractional coordinates):
Rb1 0.0000 0.2500 0.3750  4 Pd 3.39, 8 Co 3.45
Rb2 0.0000 0.7500 0.6250  4 Pd 3.39, 8 Co 3.45
Rb3 0.5000 0.2500 0.1250  4 Pd 3.39, 8 Co 3.45
Rb4 0.5000 0.7500 0.8750  4 Pd 3.39, 8 Co 3.45
Co1 0.0000 0.0000 0.0000  2 Co 2.40, 2 Pd 2.49
Co2 0.0000 0.5000 0.0000  2 Co 2.40, 2 Pd 2.49
Co3 0.2500 0.2500 0.7500  2 Co 2.40, 2 Pd 2.49
Co4 0.2500 0.7500 0.2500  2 Co 2.40, 2 Pd 2.49
Co5 0.5000 0.0000 0.5000  2 Co 2.40, 2 Pd 2.49
Co6 0.5000 0.5000 0.5000  2 Co 2.40, 2 Pd 2.49
Co7 0.7500 0.2500 0.7500  2 Co 2.40, 2 Pd 2.49
Co8 0.7500 0.7500 0.2500  2 Co 2.40, 2 Pd 2.49
Pd1 0.0000 0.2500 0.8750  4 Co 2.49
Pd2 0.0000 0.7500 0.1250  4 Co 2.49
Pd3 0.5000 0.2500 0.6250  4 Co 2.49
Pd4 0.5000 0.7500 0.3750  4 Co 2.49

Computed properties:
Energy of formation from the pure elements, eV per formula unit: 3.53

***

Compound: Hg2PO4
Source: the Alexandria database
Functional: GGA-PBE
Structure: optimized geometry

a = 5.8392 Å, b = 5.8392 Å, c = 7.2764 Å
α = 90.00°, β = 90.00°, γ = 90.00°
With the nearest neighbours (Å) after each atom.
Atoms (fractional coordinates):
Hg1 0.0000 0.5000 0.2500  4 O 2.40
Hg2 0.0000 0.5000 0.7500  4 O 2.40
Hg3 0.5000 0.0000 0.2500  4 O 2.40
Hg4 0.5000 0.0000 0.7500  4 O 2.40
P1 0.0000 0.0000 0.0000  4 O 1.57
P2 0.5000 0.5000 0.5000  4 O 1.57
O1 0.1590 0.1590 0.1183  1 P 1.57
O2 0.1590 0.8410 0.8817  1 P 1.57
O3 0.3410 0.3410 0.6183  1 P 1.57
O4 0.3410 0.6590 0.3817  1 P 1.57
O5 0.6590 0.3410 0.3817  1 P 1.57
O6 0.6590 0.6590 0.6183  1 P 1.57
O7 0.8410 0.1590 0.8817  1 P 1.57
O8 0.8410 0.8410 0.1183  1 P 1.57

Computed properties:
Formation energy from raw total energies, eV/atom: -1.18

***

Compound: TbPrO
Source: the Alexandria database
Functional: GGA-PBE
Structure: optimized geometry

a = 3.6206 Å, b = 3.6206 Å, c = 6.0522 Å
α = 90.00°, β = 90.00°, γ = 120.00°
With the nearest neighbours (Å) after each atom.
Atoms (fractional coordinates):
Tb1 0.0000 0.0000 0.0000  3 O 2.38
Pr1 0.6667 0.3333 0.5405  3 O 2.65
O1 0.3333 0.6667 0.8104  3 Tb 2.38, 3 Pr 2.65

Computed properties:
Formation energy from raw total energies, eV/atom: -1.72

***

Compound: Ca3Pr3MgSe8
Source: the Alexandria database
Functional: GGA-PBE
Structure: optimized geometry

a = 8.4444 Å, b = 8.4444 Å, c = 8.4444 Å
α = 59.73°, β = 59.73°, γ = 59.73°
With the nearest neighbours (Å) after each atom.
Atoms (fractional coordinates):
Ca1 0.0000 0.5000 0.5000  6 Se 2.95-2.97
Ca2 0.5000 0.0000 0.5000  6 Se 2.95-2.97
Ca3 0.5000 0.5000 0.0000  6 Se 2.95-2.97
Pr1 0.0000 0.0000 0.5000  6 Se 2.99-3.01
Pr2 0.0000 0.5000 0.0000  6 Se 2.99-3.01
Pr3 0.5000 0.0000 0.0000  6 Se 2.99-3.01
Mg1 0.5000 0.5000 0.5000  6 Se 2.83
Se1 0.2521 0.2521 0.2521  3 Ca 2.95, 3 Pr 3.01
Se2 0.2621 0.2621 0.7364  1 Mg 2.83, 2 Ca 2.97, 2 Pr 2.99
Se3 0.2621 0.7364 0.2621  1 Mg 2.83, 2 Ca 2.97, 2 Pr 2.99
Se4 0.2636 0.7379 0.7379  1 Mg 2.83, 2 Ca 2.97, 2 Pr 2.99
Se5 0.7364 0.2621 0.2621  1 Mg 2.83, 2 Ca 2.97, 2 Pr 2.99
Se6 0.7379 0.2636 0.7379  1 Mg 2.83, 2 Ca 2.97, 2 Pr 2.99
Se7 0.7379 0.7379 0.2636  1 Mg 2.83, 2 Ca 2.97, 2 Pr 2.99
Se8 0.7479 0.7479 0.7479  3 Ca 2.95, 3 Pr 3.01

Computed properties:
Formation energy from raw total energies, eV/atom: -1.82

***

Compound: AcLa2Au
Source: the Alexandria database
Functional: GGA-PBE
Structure: optimized geometry

a = 7.9770 Å, b = 7.9770 Å, c = 7.9770 Å
α = 90.00°, β = 90.00°, γ = 90.00°
With the nearest neighbours (Å) after each atom.
Atoms (fractional coordinates):
Ac1 0.0000 0.0000 0.0000  8 La 3.45
Ac2 0.0000 0.5000 0.5000  8 La 3.45
Ac3 0.5000 0.0000 0.5000  8 La 3.45
Ac4 0.5000 0.5000 0.0000  8 La 3.45
La1 0.2500 0.2500 0.2500  4 Ac 3.45, 4 Au 3.45
La2 0.2500 0.2500 0.7500  4 Ac 3.45, 4 Au 3.45
La3 0.2500 0.7500 0.2500  4 Ac 3.45, 4 Au 3.45
La4 0.2500 0.7500 0.7500  4 Ac 3.45, 4 Au 3.45
La5 0.7500 0.2500 0.2500  4 Ac 3.45, 4 Au 3.45
La6 0.7500 0.2500 0.7500  4 Ac 3.45, 4 Au 3.45
La7 0.7500 0.7500 0.2500  4 Ac 3.45, 4 Au 3.45
La8 0.7500 0.7500 0.7500  4 Ac 3.45, 4 Au 3.45
Au1 0.0000 0.0000 0.5000  8 La 3.45
Au2 0.0000 0.5000 0.0000  8 La 3.45
Au3 0.5000 0.0000 0.0000  8 La 3.45
Au4 0.5000 0.5000 0.5000  8 La 3.45

Computed properties:
Energy of formation from the pure elements, eV per formula unit: -0.28

***

Compound: TaCoTe2
Source: the Alexandria database
Functional: GGA-PBE
Structure: optimized geometry

a = 3.7203 Å, b = 3.7315 Å, c = 7.3936 Å
α = 90.00°, β = 98.33°, γ = 90.00°
With the nearest neighbours (Å) after each atom.
Atoms (fractional coordinates):
Ta1 0.0000 0.0000 0.0000  4 Co 2.52-2.80, 3 Te 2.75-2.82
Co1 0.4319 0.5000 0.9500  3 Te 2.51-2.56, 4 Ta 2.52-2.80
Te1 0.4413 0.0000 0.7127  2 Co 2.56, 2 Ta 2.75-2.87
Te2 0.8190 0.5000 0.2581  1 Co 2.51

Computed properties:
Formation energy from raw total energies, eV/atom: -0.10

***

Repeat the second record exactly.
Compound: Hg2PO4
Source: the Alexandria database
Functional: GGA-PBE
Structure: optimized geometry

a = 5.8392 Å, b = 5.8392 Å, c = 7.2764 Å
α = 90.00°, β = 90.00°, γ = 90.00°
With the nearest neighbours (Å) after each atom.
Atoms (fractional coordinates):
Hg1 0.0000 0.5000 0.2500  4 O 2.40
Hg2 0.0000 0.5000 0.7500  4 O 2.40
Hg3 0.5000 0.0000 0.2500  4 O 2.40
Hg4 0.5000 0.0000 0.7500  4 O 2.40
P1 0.0000 0.0000 0.0000  4 O 1.57
P2 0.5000 0.5000 0.5000  4 O 1.57
O1 0.1590 0.1590 0.1183  1 P 1.57
O2 0.1590 0.8410 0.8817  1 P 1.57
O3 0.3410 0.3410 0.6183  1 P 1.57
O4 0.3410 0.6590 0.3817  1 P 1.57
O5 0.6590 0.3410 0.3817  1 P 1.57
O6 0.6590 0.6590 0.6183  1 P 1.57
O7 0.8410 0.1590 0.8817  1 P 1.57
O8 0.8410 0.8410 0.1183  1 P 1.57

Computed properties:
Formation energy from raw total energies, eV/atom: -1.18